Compound: Ba5NpN4F2
Source: Alexandria via LeMat-Bulk
Functional: PBE
Structure: optimized geometry

Formation energy without anion corrections (kJ/mol of formula units): -1630
Total magnetic moment (μB per cell): 2.96

a = 7.940 Å, b = 6.414 Å, c = 6.414 Å
α = 119.13°, β = 90.00°, γ = 90.00°
Positions (direct):
Ba  0.000  0.000  0.000
Ba  0.276  0.314  0.668
Ba  0.276  0.668  0.314
Ba  0.724  0.314  0.668
Ba  0.724  0.668  0.314
Np  0.500  0.004  0.004
N  0.282  0.207  0.207
N  0.500  0.656  0.980
N  0.500  0.980  0.656
N  0.718  0.207  0.207
F  0.000  0.564  0.983
F  0.000  0.983  0.564



Compound: BaNO2F
Source: Alexandria via LeMat-Bulk
Functional: PBE
Structure: optimized geometry

Formation energy without anion corrections (kJ/mol of formula units): 104
Total magnetic moment (μB per cell): 6.01

a = 5.528 Å, b = 5.528 Å, c = 5.005 Å
α = 90.00°, β = 90.00°, γ = 90.00°
Positions (direct):
Ba  0.000  0.000  0.000
N  0.500  0.500  0.500
O  0.000  0.500  0.000
O  0.500  0.000  0.000
F  0.000  0.000  0.500



Compound: BaN2OF
Source: Alexandria via LeMat-Bulk
Functional: PBE
Structure: optimized geometry

Formation energy without anion corrections (kJ/mol of formula units): 461
Total magnetic moment (μB per cell): 4.99

a = 4.040 Å, b = 4.040 Å, c = 4.955 Å
α = 90.00°, β = 90.00°, γ = 90.00°
Positions (direct):
Ba  0.000  0.000  0.000
N  0.000  0.500  0.500
N  0.500  0.000  0.500
O  0.500  0.500  0.000
F  0.500  0.500  0.500



Compound: BaNOF2
Source: Alexandria via LeMat-Bulk
Functional: PBE
Structure: optimized geometry

Formation energy without anion corrections (kJ/mol of formula units): -504
Total magnetic moment (μB per cell): 0.00

a = 4.385 Å, b = 4.385 Å, c = 3.499 Å
α = 90.00°, β = 90.00°, γ = 90.00°
Positions (direct):
Ba  0.000  0.000  0.000
N  0.500  0.500  0.500
O  0.500  0.500  0.000
F  0.000  0.500  0.500
F  0.500  0.000  0.500



Compound: BaN2OF
Source: Alexandria via LeMat-Bulk
Functional: PBE
Structure: optimized geometry

Formation energy without anion corrections (kJ/mol of formula units): 494
Total magnetic moment (μB per cell): 7.00

a = 5.705 Å, b = 5.705 Å, c = 4.953 Å
α = 90.00°, β = 90.00°, γ = 90.00°
Positions (direct):
Ba  0.000  0.000  0.000
N  0.000  0.500  0.000
N  0.500  0.000  0.000
O  0.500  0.500  0.500
F  0.000  0.000  0.500



Compound: BaN2OF
Source: Alexandria via LeMat-Bulk
Functional: PBE
Structure: optimized geometry

Formation energy without anion corrections (kJ/mol of formula units): 170
Total magnetic moment (μB per cell): 2.35

a = 3.700 Å, b = 3.700 Å, c = 5.285 Å
α = 90.00°, β = 90.00°, γ = 90.00°
Positions (direct):
Ba  0.000  0.000  0.000
N  0.000  0.500  0.500
N  0.500  0.000  0.500
O  0.500  0.500  0.500
F  0.500  0.500  0.000



Compound: BaNOF2
Source: Alexandria via LeMat-Bulk
Functional: PBE
Structure: optimized geometry

Formation energy without anion corrections (kJ/mol of formula units): -242
Total magnetic moment (μB per cell): 1.00

a = 4.997 Å, b = 4.997 Å, c = 5.907 Å
α = 90.00°, β = 90.00°, γ = 90.00°
Positions (direct):
Ba  0.000  0.000  0.000
N  0.500  0.500  0.500
O  0.000  0.000  0.500
F  0.000  0.500  0.000
F  0.500  0.000  0.000



Compound: BaNO2F
Source: Alexandria via LeMat-Bulk
Functional: PBE
Structure: optimized geometry

Formation energy without anion corrections (kJ/mol of formula units): 99
Total magnetic moment (μB per cell): 4.44

a = 4.639 Å, b = 4.639 Å, c = 3.673 Å
α = 90.00°, β = 90.00°, γ = 90.00°
Positions (direct):
Ba  0.000  0.000  0.000
N  0.500  0.500  0.000
O  0.000  0.500  0.500
O  0.500  0.000  0.500
F  0.500  0.500  0.500



- total magnetic moment of number 1 (Ba5NpN4F2)?
  2.96 μB per cell



- The highest formation energy without anion corrections belongs to which entry?
  number 5



- Which of these has the lowest total magnetic moment?
  number 4